1.
DFT (GGA-PBE) results for crystalline PrNd2Er7 at its relaxed geometry.

Geometry as extended XYZ:
```
10
Lattice="3.248 -14.428 0.000 3.248 14.428 0.000 0.000 0.000 3.512" Properties=species:S:1:pos:R:3 pbc="T T T"
Pr 0.000 0.000 0.000
Nd 3.248 6.001 1.756
Nd 3.248 -6.001 1.756
Er 1.607 2.860 1.756
Er 3.248 9.092 0.000
Er 1.607 -2.860 1.756
Er 3.248 0.000 1.756
Er 4.888 2.860 1.756
Er 3.248 -9.092 0.000
Er 4.888 -2.860 1.756
```

## Properties
Space group ... No. 65
Crystal system ... orthorhombic
Relative energy among the computed polymorphs ... 146.8 meV per atom

***

2.
DFT (GGA-PBE) results for crystalline Pr3NdEr8 at its relaxed geometry.

Geometry as extended XYZ:
```
12
Lattice="-5.454 5.691 3.155 5.454 -5.691 3.155 5.454 5.691 -3.155" Properties=species:S:1:pos:R:3 pbc="T T T"
Pr 0.000 0.000 0.000
Pr 5.454 2.843 1.004
Pr 0.000 2.848 4.159
Nd 0.000 5.691 0.001
Er 1.840 2.850 1.045
Er 3.614 -2.842 4.200
Er 3.611 5.691 -0.046
Er 1.843 0.000 3.109
Er 1.840 8.533 1.045
Er 3.614 2.842 4.200
Er -1.837 5.691 3.111
Er 1.837 5.691 3.111
```

## Properties
Space group ... No. 44
Crystal system ... orthorhombic

***

3.
DFT (GGA-PBE) results for crystalline Pr2Nd4Er3 at its relaxed geometry.

Geometry as extended XYZ:
```
9
Lattice="3.638 0.000 0.000 -1.819 3.150 0.000 0.000 0.000 27.067" Properties=species:S:1:pos:R:3 pbc="T T T"
Pr 0.000 0.000 0.000
Pr 0.000 0.000 5.754
Nd 0.000 0.000 9.385
Nd 0.000 0.000 15.096
Nd 0.000 2.100 18.184
Nd 0.000 2.100 23.946
Er 0.000 0.000 21.068
Er 0.000 2.100 2.918
Er 0.000 2.100 12.198
```

## Properties
Space group ... No. 156
Crystal system ... trigonal
Relative energy among the computed polymorphs ... 34.7 meV per atom

***

4.
DFT (GGA-PBE) results for crystalline Pr2Nd5Er4 at its relaxed geometry.

Geometry as extended XYZ:
```
11
Lattice="11.892 -1.812 0.000 11.892 1.812 0.000 -2.215 0.000 8.600" Properties=species:S:1:pos:R:3 pbc="T T T"
Pr 1.632 0.000 1.907
Pr 19.937 0.000 6.693
Nd -1.108 0.000 4.300
Nd 4.970 0.000 5.921
Nd 7.746 0.000 3.484
Nd 13.823 0.000 5.116
Nd 16.599 0.000 2.679
Er 2.213 0.000 8.204
Er 10.476 0.000 1.165
Er 11.094 0.000 7.435
Er 19.356 0.000 0.396
```

## Properties
Space group ... No. 12
Crystal system ... monoclinic
Relative energy among the computed polymorphs ... 0.0 meV per atom

***

5.
DFT (GGA-PBE) results for crystalline Pr2Nd6Er3 at its relaxed geometry.

Geometry as extended XYZ:
```
11
Lattice="-2.400 2.400 17.177 2.400 -2.400 17.177 2.400 2.400 -17.177" Properties=species:S:1:pos:R:3 pbc="T T T"
Pr 0.000 0.000 1.561
Pr 0.000 0.000 32.793
Nd 2.400 0.000 4.211
Nd 0.000 0.000 7.023
Nd 2.400 0.000 12.966
Nd 0.000 2.400 4.211
Nd 0.000 0.000 27.331
Nd 0.000 2.400 12.966
Er 0.000 0.000 10.449
Er 0.000 0.000 17.177
Er 0.000 0.000 23.906
```

## Properties
Space group ... No. 139
Crystal system ... tetragonal
Relative energy among the computed polymorphs ... 266.0 meV per atom

***

6.
DFT (GGA-PBE) results for crystalline Pr2Nd8Er at its relaxed geometry.

Geometry as extended XYZ:
```
11
Lattice="5.708 -3.758 0.000 5.708 3.758 0.000 -2.747 0.000 9.073" Properties=species:S:1:pos:R:3 pbc="T T T"
Pr 1.256 0.000 1.212
Pr 7.413 0.000 7.861
Nd 4.334 1.623 2.068
Nd 2.149 0.000 4.561
Nd 1.226 0.000 7.893
Nd 4.335 1.623 7.005
Nd 4.334 -1.623 2.068
Nd 7.442 0.000 1.180
Nd 6.520 0.000 4.512
Nd 4.335 -1.623 7.005
Er -1.374 0.000 4.537
```

## Properties
Space group ... No. 12
Crystal system ... monoclinic
Relative energy among the computed polymorphs ... 0.0 meV per atom

***

In A^3/atom, the volume values for the records above are, in order, 32.91, 32.64, 34.47, 33.69, 35.97, 35.38.
In eV per formula unit, the E_form values for the records above are, in order, 1.67, 0.24, 0.48, 0.24, 3.11, 1.32.